Record 1
First-principles (PBE-GGA) data for a geometry-optimized ScCuP2 structure, as listed in Alexandria via LeMat-Bulk.

```
data_ScCuP2
_chemical_formula_sum 'Sc4 Cu4 P8'
_cell_length_a 6.2995
_cell_length_b 6.2995
_cell_length_c 6.2995
_cell_angle_alpha 90.00
_cell_angle_beta 90.00
_cell_angle_gamma 90.00
_space_group_name_H-M_alt 'F m -3 m'
_space_group_IT_number 225
_space_group_name_Hall '-F 4 2 3'
loop_
_atom_site_label
_atom_site_type_symbol
_atom_site_fract_x
_atom_site_fract_y
_atom_site_fract_z
Sc1 Sc 0.0000 0.0000 0.0000
Cu1 Cu 0.0000 0.0000 0.5000
P1 P 0.2500 0.2500 0.2500
```

* crystal system: cubic


Record 2
First-principles (PBE-GGA) data for a geometry-optimized KLiFe2P structure, as listed in Alexandria via LeMat-Bulk.

```
data_KLiFe2P
_chemical_formula_sum 'K1 Li1 Fe2 P1'
_cell_length_a 4.4360
_cell_length_b 4.4360
_cell_length_c 4.9902
_cell_angle_alpha 90.00
_cell_angle_beta 90.00
_cell_angle_gamma 90.00
_space_group_name_H-M_alt 'P 4/m m m'
_space_group_IT_number 123
_space_group_name_Hall '-P 4 2'
loop_
_atom_site_label
_atom_site_type_symbol
_atom_site_fract_x
_atom_site_fract_y
_atom_site_fract_z
K1 K 0.0000 0.0000 0.0000
Li1 Li 0.5000 0.5000 0.0000
Fe1 Fe 0.0000 0.5000 0.5000
P1 P 0.5000 0.5000 0.5000
```

* crystal system: tetragonal


Record 3
First-principles (PBE-GGA) data for a geometry-optimized Mn2AsIr structure, as listed in Alexandria via LeMat-Bulk.

```
data_Mn2AsIr
_chemical_formula_sum 'Mn4 As2 Ir2'
_cell_length_a 2.8819
_cell_length_b 4.6695
_cell_length_c 8.6587
_cell_angle_alpha 90.00
_cell_angle_beta 90.00
_cell_angle_gamma 90.00
_space_group_name_H-M_alt 'C m m 2'
_space_group_IT_number 35
loop_
_space_group_symop_operation_xyz
'x,y,z'
'-x,-y,z'
'-x,y,z'
'x,-y,z'
'x+1/2,y+1/2,z'
'-x+1/2,-y+1/2,z'
'-x+1/2,y+1/2,z'
'x+1/2,-y+1/2,z'
loop_
_atom_site_label
_atom_site_type_symbol
_atom_site_fract_x
_atom_site_fract_y
_atom_site_fract_z
Mn1 Mn 0.0000 0.0000 0.0000
Mn2 Mn 0.0000 0.5000 0.2390
As1 As 0.0000 0.5000 0.7655
Ir1 Ir 0.0000 0.0000 0.4760
```

* crystal system: orthorhombic


DFT total energy in eV/cell, matching the order above: -89.0 -24.1 -61.0